Density functional theory data (PBE with a Hubbard U) for a relaxed structure of Li4V2Fe3Sb3O16.

```
28
Lattice="6.1257 0.0000 0.0000 -2.9685 5.3686 0.0000 -0.0303 -0.2961 9.7825" Properties=species:S:1:pos:R:3 pbc="T T T"
Li 0.0000 0.0000 0.0000
Li 6.0549 -0.0548 5.0520
Li 0.0510 3.3568 6.0513
Li 3.0686 1.8037 0.9804
V 0.0139 3.4222 0.0334
V 3.0635 1.3908 5.1663
Fe -0.0043 1.6585 2.8051
Fe 1.5290 0.5719 7.7353
Fe 4.5519 0.5748 7.7360
Sb -1.4876 4.3097 2.8260
Sb 1.5404 4.3135 2.8078
Sb 3.0978 3.2055 7.7128
O -1.3637 2.7513 1.6095
O -1.5670 4.0472 8.8595
O -0.0588 1.4071 8.8804
O 1.4357 0.5795 3.9479
O 0.0330 3.5044 3.9257
O 0.0167 5.0788 1.6274
O 1.4062 2.7709 1.5809
O 3.1004 -0.0547 6.4476
O 1.7981 2.3813 6.3847
O 1.5985 4.0999 8.8229
O 3.1050 1.5195 8.7979
O 4.5555 0.5948 3.9315
O 3.0860 3.4917 3.9004
O 4.4631 2.2777 6.4887
O 3.0780 4.9777 6.8043
O 3.0950 5.1557 1.8101
```

## Properties
Total DFT energy (no corrections) ... -178.827 eV for the cell shown
Crystal system ... triclinic
Total moment ... 16.95 μB per cell
SG ... P1 (1)